# 1
This record from Alexandria describes HgH10C2S2O8 after structural relaxation. The functional is PBE.

Unit cell a=4.873 b=6.460 c=8.348 alpha=88.77 beta=85.12 gamma=81.15
Fractional positions:
1 Hg 0.000 0.000 0.000
2 H 0.000 0.369 0.182
3 H 0.000 0.631 0.818
4 H 0.176 0.935 0.381
5 H 0.183 0.657 0.407
6 H 0.304 0.298 0.088
7 H 0.413 0.788 0.512
8 H 0.587 0.212 0.488
9 H 0.696 0.702 0.912
10 H 0.817 0.343 0.593
11 H 0.824 0.065 0.619
12 C 0.307 0.785 0.402
13 C 0.693 0.215 0.598
14 S 0.438 0.260 0.762
15 S 0.562 0.740 0.238
16 O 0.149 0.247 0.154
17 O 0.259 0.459 0.730
18 O 0.286 0.076 0.766
19 O 0.415 0.730 0.089
20 O 0.585 0.270 0.911
21 O 0.714 0.924 0.234
22 O 0.741 0.541 0.270
23 O 0.851 0.753 0.846

Computed properties:
Space group: P-1, No. 2
Density of states at the Fermi level, states/eV/f.u.: 0.00
M_tot, μB/f.u.: 0.00
Energy, eV/atom: -5.131

# 2
This record from Alexandria describes Ho8HC3N3 after structural relaxation. The functional is PBE.

Unit cell a=7.017 b=7.017 c=7.017 alpha=59.90 beta=59.90 gamma=59.90
Fractional positions:
1 Ho 0.247 0.247 0.753
2 Ho 0.247 0.753 0.247
3 Ho 0.247 0.753 0.753
4 Ho 0.248 0.248 0.248
5 Ho 0.752 0.752 0.752
6 Ho 0.753 0.247 0.247
7 Ho 0.753 0.247 0.753
8 Ho 0.753 0.753 0.247
9 H 0.500 0.500 0.500
10 C 0.000 0.500 0.500
11 C 0.500 0.000 0.500
12 C 0.500 0.500 0.000
13 N 0.000 0.000 0.500
14 N 0.000 0.500 0.000
15 N 0.500 0.000 0.000

Computed properties:
Space group: R-3m, No. 166
Density of states at the Fermi level, states/eV/f.u.: 3.14
M_tot, μB/f.u.: 0.00
Energy, eV/atom: -6.982

# 3
This record from Alexandria describes Ho4HCN2 after structural relaxation. The functional is PBE.

Unit cell a=6.060 b=6.060 c=6.060 alpha=132.09 beta=132.09 gamma=70.09
Fractional positions:
1 Ho 0.000 0.500 0.500
2 Ho 0.238 0.238 0.000
3 Ho 0.500 0.000 0.500
4 Ho 0.762 0.762 0.000
5 H 0.500 0.500 0.000
6 C 0.000 0.000 0.000
7 N 0.250 0.750 0.500
8 N 0.750 0.250 0.500

Computed properties:
Space group: I4/mmm, No. 139
Density of states at the Fermi level, states/eV/f.u.: 2.57
M_tot, μB/f.u.: 0.00
Energy, eV/atom: -6.977